1.
First-principles (PBE-GGA) data for a relaxed YBiAs2O crystal, as listed in Alexandria via LeMat-Bulk.

Crystal system: tetragonal
ρ: 7.534 g cm⁻³
Raw total energy: -5.370 eV per atom
DOS(E_F): 2.12 states/eV/cell
Total magnetic moment: 0.00 μB per formula unit
E_form (uncorrected): -0.450 eV per atom

Cell: 4.6283 4.6283 4.7717 Å, 90.00 90.00 90.00°
With the nearest neighbours (Å) after each atom.
Space group P4/mmm (No. 123)
Asymmetric unit:
1 Y 0.0000 0.0000 0.0000 x1  4 Bi 3.27, 8 As 3.32
2 Bi 0.5000 0.5000 0.0000 x1  2 O 2.39
3 As 0.0000 0.5000 0.5000 x2  2 O 2.31
4 O 0.5000 0.5000 0.5000 x1  4 As 2.31, 2 Bi 2.39

=====

2.
First-principles (PBE-GGA) data for a relaxed ZnBiAs2O8 crystal, as listed in Alexandria via LeMat-Bulk.

Crystal system: tetragonal
ρ: 5.836 g cm⁻³
Raw total energy: -5.607 eV per atom
DOS(E_F): 4.63 states/eV/cell
Total magnetic moment: 0.00 μB per formula unit
E_form (uncorrected): -1.097 eV per atom

Cell: 7.0529 7.0529 6.3170 Å, 90.00 90.00 90.00°
With the nearest neighbours (Å) after each atom.
Space group I-4m2 (No. 119)
Asymmetric unit:
1 Zn 0.0000 0.0000 0.0000 x2  8 O 2.26-2.34
2 Bi 0.0000 0.5000 0.2500 x2  8 O 2.31-2.41
3 As 0.0000 0.0000 0.5000 x2  4 O 1.72
4 As 0.0000 0.5000 0.7500 x2  4 O 1.73
5 O 0.0000 0.1778 0.3126 x8  1 As 1.72
6 O 0.0000 0.3145 0.9302 x8  1 As 1.73

=====

3.
First-principles (PBE-GGA) data for a relaxed Bi2AsOs crystal, as listed in Alexandria via LeMat-Bulk.

Crystal system: tetragonal
DFT formation energy: 0.801 eV per atom
ρ: 8.859 g cm⁻³
Raw total energy: -5.109 eV per atom
DOS(E_F): 17.10 states/eV/cell
Total magnetic moment: 0.00 μB per formula unit

Cell: 6.3939 6.3939 12.5275 Å, 90.00 90.00 90.00°
With the nearest neighbours (Å) after each atom.
Space group I-42d (No. 122)
Asymmetric unit:
1 Bi 0.2186 0.2500 0.1250 x8  2 Os 2.64, 2 As 2.87
2 As 0.0000 0.0000 0.5000 x4  4 Bi 2.87
3 Os 0.0000 0.0000 0.0000 x4  4 Bi 2.64

=====

4.
First-principles (PBE-GGA) data for a relaxed Bi3AsOs crystal, as listed in Alexandria via LeMat-Bulk.

Crystal system: cubic
DFT formation energy: 1.613 eV per atom
Offset from the most stable computed form: 0.7961 eV/atom
ρ: 9.313 g cm⁻³
Raw total energy: -3.892 eV per atom
DOS(E_F): 5.08 states/eV/cell
Total magnetic moment: 2.08 μB per formula unit

Cell: 5.4182 5.4182 5.4182 Å, 90.00 90.00 90.00°
With the nearest neighbours (Å) after each atom.
Space group Pm-3m (No. 221)
Asymmetric unit:
1 Bi 0.0000 0.0000 0.5000 x3  2 As 2.71
2 As 0.0000 0.0000 0.0000 x1  6 Bi 2.71
3 Os 0.5000 0.5000 0.5000 x1  12 Bi 3.83

=====

> Among the records above, which one has the lowest ρ?

ZnBiAs2O8